No. 1
DFT (GGA-PBE) results for an optimized crystal structure of BeV2Cl6.

a = 14.570 Å, b = 12.110 Å, c = 5.980 Å
α = 90.00°, β = 113.85°, γ = 90.00°
Space group C2/c (No. 15)
Symmetry-distinct sites (fractional):
Be  0.000  0.242  0.250 (multiplicity 4)
V  0.247  0.326  0.550 (multiplicity 8)
Cl  0.085  0.340  0.536 (multiplicity 8)
Cl  0.091  0.144  0.151 (multiplicity 8)
Cl  0.241  0.401  0.206 (multiplicity 8)

The uncorrected energy comes out at -4.737 eV per atom. Its raw formation energy is -1.07 eV/atom.

No. 2
DFT (GGA-PBE) results for an optimized crystal structure of TmTh2Fe2.

a = 11.387 Å, b = 3.948 Å, c = 5.378 Å
α = 90.00°, β = 107.96°, γ = 90.00°
Space group C2/m (No. 12)
Symmetry-distinct sites (fractional):
Tm  0.000  0.000  0.000 (multiplicity 2)
Th  0.159  0.500  0.626 (multiplicity 4)
Fe  0.201  0.500  0.138 (multiplicity 4)

The calculation puts the formation enthalpy at 0 K at 15 kJ/mol of formula units. The uncorrected energy comes out at -7.217 eV per atom. The energy relative to the lowest polymorph listed for this composition is 0.18 eV per formula unit.

No. 3
DFT (GGA-PBE) results for an optimized crystal structure of K2SrSnI6.

a = 8.6440 Å, b = 8.6440 Å, c = 22.2528 Å
α = 90.00°, β = 90.00°, γ = 120.00°
Space group R3 (No. 146, hexagonal axes)
Symmetry-distinct sites (fractional):
K  0.0000  0.0000  0.0000 (multiplicity 3)
K  0.0000  0.0000  0.4988 (multiplicity 3)
Sr  0.0000  0.0000  0.2059 (multiplicity 3)
Sn  0.0000  0.0000  0.7047 (multiplicity 3)
I  0.0582  0.3406  0.7806 (multiplicity 9)
I  0.0624  0.7107  0.2825 (multiplicity 9)

The uncorrected energy comes out at -2.956 eV per atom. Its raw formation energy is -1.24 eV/atom.

No. 4
DFT (GGA-PBE) results for an optimized crystal structure of KTbSb2.

a = 4.0243 Å, b = 4.0243 Å, c = 28.8784 Å
α = 90.00°, β = 90.00°, γ = 120.00°
Space group R-3m (No. 166, hexagonal axes)
Symmetry-distinct sites (fractional):
K  0.0000  0.0000  0.0000 (multiplicity 3)
Tb  0.0000  0.0000  0.5000 (multiplicity 3)
Sb  0.0000  0.0000  0.2406 (multiplicity 6)

The uncorrected energy comes out at -3.992 eV per atom. Its raw formation energy is -0.50 eV/atom. The energy relative to the lowest polymorph listed for this composition is 0.59 eV per formula unit.